[1]
A geometry-optimized Er2ZnCd5 structure. Source: the Alexandria database, functional PBE-GGA.

Output
* energy: -1.91 eV per atom
* size of the total moment: 0.00 μB per formula unit

a b c (Å): 11.165 11.165 11.165
angles (deg): 23.98 23.98 23.98
Element x y z (fractional)
1 Er 0.090 0.090 0.090
2 Er 0.910 0.910 0.910
3 Zn 0.000 0.000 0.000
4 Cd 0.197 0.197 0.197
5 Cd 0.363 0.363 0.363
6 Cd 0.500 0.500 0.500
7 Cd 0.637 0.637 0.637
8 Cd 0.803 0.803 0.803

---

[2]
A geometry-optimized ErZnCd2 structure. Source: the Alexandria database, functional PBE-GGA.

Output
* energy: -2.04 eV per atom
* size of the total moment: 0.13 μB per formula unit

a b c (Å): 3.454 3.454 7.385
angles (deg): 90.00 90.00 90.00
Element x y z (fractional)
1 Er 0.000 0.000 0.000
2 Zn 0.000 0.000 0.500
3 Cd 0.500 0.500 0.282
4 Cd 0.500 0.500 0.718

---

[3]
A geometry-optimized Er2Zn2Cd3 structure. Source: the Alexandria database, functional PBE-GGA.

Output
* excess energy over the best structure of this formula in the dataset: 0.00 eV per formula unit
* energy: -2.33 eV per atom
* size of the total moment: 0.00 μB per formula unit

a b c (Å): 5.702 5.702 7.481
angles (deg): 112.45 112.45 43.77
Element x y z (fractional)
1 Er 0.143 0.143 0.288
2 Er 0.857 0.857 0.712
3 Zn 0.156 0.156 0.698
4 Zn 0.844 0.844 0.302
5 Cd 0.380 0.380 0.061
6 Cd 0.500 0.500 0.500
7 Cd 0.620 0.620 0.939

---

[4]
A geometry-optimized ErZn10Cd structure. Source: the Alexandria database, functional PBE-GGA.

Output
* energy: -1.62 eV per atom
* size of the total moment: 0.00 μB per formula unit

a b c (Å): 4.280 5.221 9.162
angles (deg): 90.00 90.00 90.00
Element x y z (fractional)
1 Er 0.000 0.000 0.000
2 Zn 0.000 0.000 0.340
3 Zn 0.000 0.000 0.660
4 Zn 0.000 0.500 0.183
5 Zn 0.000 0.500 0.817
6 Zn 0.500 0.000 0.500
7 Zn 0.500 0.239 0.236
8 Zn 0.500 0.239 0.764
9 Zn 0.500 0.500 0.000
10 Zn 0.500 0.761 0.236
11 Zn 0.500 0.761 0.764
12 Cd 0.000 0.500 0.500

---

Result set for volume: 25.25; 22.03; 21.90; 17.06 A^3/atom, one per record in the order listed.
Result set for ρ: 7.909; 8.623; 8.691; 7.573 g cm⁻³, one per record in the order listed.